Entry 1:
First-principles (GGA-PBE) data for crystalline Pm5PuTl3 at its relaxed geometry, as listed in the Alexandria database.

- D(E_F): 1.476 states/eV/atom
- Total moment: 6.47 μB/f.u.
- Electronic total energy: -5.26 eV per atom
- Formation enthalpy at 0 K: -0.24 eV per atom

Geometry as POSCAR:
```
Pm5PuTl3
1.0
9.581 0.000 0.000
-4.791 8.298 0.000
0.000 0.000 6.773
Pm Pu Tl
10 2 6
direct
0.000 0.315 0.250
0.000 0.685 0.750
0.315 0.000 0.250
0.315 0.315 0.750
0.333 0.667 0.000
0.333 0.667 0.500
0.667 0.333 0.000
0.667 0.333 0.500
0.685 0.000 0.750
0.685 0.685 0.250
0.000 0.000 0.000
0.000 0.000 0.500
0.000 0.347 0.750
0.000 0.653 0.250
0.347 0.000 0.750
0.347 0.347 0.250
0.653 0.000 0.250
0.653 0.653 0.750
```



Entry 2:
First-principles (GGA-PBE) data for crystalline PmPuTl at its relaxed geometry, as listed in the Alexandria database.

- D(E_F): 2.482 states/eV/atom
- Total moment: 6.00 μB/f.u.
- Electronic total energy: -7.14 eV per atom
- Formation enthalpy at 0 K: 0.01 eV per atom

Geometry as POSCAR:
```
PmPuTl
1.0
5.364 0.000 0.000
-2.682 4.645 0.000
0.000 0.000 3.482
Pm Pu Tl
1 1 1
direct
0.000 0.000 0.000
0.667 0.333 0.400
0.333 0.667 0.677
```



Entry 3:
First-principles (GGA-PBE) data for crystalline Pm2PuTl at its relaxed geometry, as listed in the Alexandria database.

- D(E_F): 2.070 states/eV/atom
- Total moment: 6.18 μB/f.u.
- Electronic total energy: -6.62 eV per atom
- Formation enthalpy at 0 K: -0.07 eV per atom

Geometry as POSCAR:
```
Pm2PuTl
1.0
3.661 0.000 0.000
0.000 3.661 0.000
0.000 0.000 8.938
Pm Pu Tl
2 1 1
direct
0.000 0.000 0.238
0.000 0.000 0.762
0.500 0.500 0.500
0.500 0.500 0.000
```



Entry 4:
First-principles (GGA-PBE) data for crystalline Pm2PuTl at its relaxed geometry, as listed in the Alexandria database.

- D(E_F): 2.383 states/eV/atom
- Total moment: 6.43 μB/f.u.
- Electronic total energy: -6.56 eV per atom
- Formation enthalpy at 0 K: -0.01 eV per atom

Geometry as POSCAR:
```
Pm2PuTl
1.0
1.815 1.048 10.865
-1.815 1.048 10.865
0.000 -2.095 10.865
Pm Pu Tl
2 1 1
direct
0.000 0.000 0.000
0.171 0.171 0.171
0.418 0.418 0.418
0.586 0.586 0.586
```



Entry 5:
First-principles (GGA-PBE) data for crystalline PmPu2Tl at its relaxed geometry, as listed in the Alexandria database.

- D(E_F): 3.875 states/eV/atom
- Total moment: 12.99 μB/f.u.
- Electronic total energy: -8.82 eV per atom
- Formation enthalpy at 0 K: 0.12 eV per atom

Geometry as POSCAR:
```
PmPu2Tl
1.0
4.202 0.000 0.000
0.000 4.202 0.000
0.000 0.000 6.581
Pm Pu Tl
1 2 1
direct
0.000 0.000 0.000
0.500 0.500 0.268
0.500 0.500 0.732
0.000 0.000 0.500
```



Entry 6:
First-principles (GGA-PBE) data for crystalline PmTmPuTl at its relaxed geometry, as listed in the Alexandria database.

- D(E_F): 2.664 states/eV/atom
- Total moment: 6.82 μB/f.u.
- Electronic total energy: -6.37 eV per atom
- Formation enthalpy at 0 K: 0.11 eV per atom

Geometry as POSCAR:
```
PmTmPuTl
1.0
0.000 3.856 3.856
3.856 0.000 3.856
3.856 3.856 0.000
Pm Tm Pu Tl
1 1 1 1
direct
0.000 0.000 0.000
0.750 0.750 0.750
0.250 0.250 0.250
0.500 0.500 0.500
```



Entry 7:
First-principles (GGA-PBE) data for crystalline PmYPuTl at its relaxed geometry, as listed in the Alexandria database.

- D(E_F): 2.746 states/eV/atom
- Total moment: 6.93 μB/f.u.
- Electronic total energy: -6.89 eV per atom
- Formation enthalpy at 0 K: 0.09 eV per atom

Geometry as POSCAR:
```
PmYPuTl
1.0
0.000 3.880 3.880
3.880 0.000 3.880
3.880 3.880 0.000
Pm Y Pu Tl
1 1 1 1
direct
0.000 0.000 0.000
0.750 0.750 0.750
0.250 0.250 0.250
0.500 0.500 0.500
```



Entry 8:
First-principles (GGA-PBE) data for crystalline Pm6Tm2Pu at its relaxed geometry, as listed in the Alexandria database.

- D(E_F): 1.867 states/eV/atom
- Total moment: 6.43 μB/f.u.
- Electronic total energy: -5.70 eV per atom
- Formation enthalpy at 0 K: 0.05 eV per atom

Geometry as POSCAR:
```
Pm6Tm2Pu
1.0
10.745 0.000 0.000
0.000 10.745 0.000
0.000 0.000 5.076
Pm Tm Pu
12 4 2
direct
0.000 0.329 0.000
0.000 0.671 0.000
0.164 0.164 0.500
0.171 0.500 0.500
0.329 0.000 0.000
0.336 0.664 0.000
0.500 0.171 0.500
0.500 0.829 0.500
0.664 0.336 0.000
0.671 0.000 0.000
0.829 0.500 0.500
0.836 0.836 0.500
0.165 0.835 0.500
0.335 0.335 0.000
0.665 0.665 0.000
0.835 0.165 0.500
0.000 0.000 0.000
0.500 0.500 0.500
```



Entry 9:
First-principles (GGA-PBE) data for crystalline Pm2Tm6Pu at its relaxed geometry, as listed in the Alexandria database.

- D(E_F): 1.786 states/eV/atom
- Total moment: 5.22 μB/f.u.
- Electronic total energy: -5.53 eV per atom
- Formation enthalpy at 0 K: 0.09 eV per atom

Geometry as POSCAR:
```
Pm2Tm6Pu
1.0
5.718 0.000 0.000
-2.836 8.514 0.000
-2.857 -1.724 11.371
Pm Tm Pu
4 12 2
direct
0.074 0.182 0.466
0.387 0.921 0.353
0.613 0.079 0.647
0.926 0.818 0.534
0.100 0.443 0.256
0.150 0.983 0.831
0.202 0.819 0.070
0.300 0.336 0.762
0.333 0.604 0.561
0.433 0.224 0.133
0.567 0.776 0.867
0.667 0.396 0.439
0.700 0.664 0.238
0.798 0.181 0.930
0.850 0.017 0.169
0.900 0.557 0.744
0.250 0.494 0.001
0.750 0.506 0.999
```



Entry 10:
First-principles (GGA-PBE) data for crystalline PmTm2Pu at its relaxed geometry, as listed in the Alexandria database.

- D(E_F): 2.643 states/eV/atom
- Total moment: 6.17 μB/f.u.
- Electronic total energy: -6.82 eV per atom
- Formation enthalpy at 0 K: 0.19 eV per atom

Geometry as POSCAR:
```
PmTm2Pu
1.0
0.000 3.946 3.946
3.946 0.000 3.946
3.946 3.946 0.000
Pm Tm Pu
1 2 1
direct
0.000 0.000 0.000
0.250 0.250 0.250
0.750 0.750 0.750
0.500 0.500 0.500
```



Entry 11:
First-principles (GGA-PBE) data for crystalline Pm5Tm12Pu at its relaxed geometry, as listed in the Alexandria database.

- D(E_F): 1.725 states/eV/atom
- Total moment: 5.96 μB/f.u.
- Electronic total energy: -5.05 eV per atom
- Formation enthalpy at 0 K: 0.04 eV per atom

Geometry as POSCAR:
```
Pm5Tm12Pu
1.0
10.585 0.000 0.000
0.000 4.983 0.000
-0.008 0.000 10.599
Pm Tm Pu
5 12 1
direct
0.000 0.000 0.000
0.167 0.500 0.167
0.337 0.000 0.337
0.663 0.000 0.663
0.833 0.500 0.833
0.002 0.000 0.665
0.167 0.500 0.502
0.168 0.500 0.831
0.334 0.000 0.666
0.335 0.000 0.998
0.498 0.500 0.832
0.502 0.500 0.168
0.665 0.000 0.002
0.666 0.000 0.334
0.832 0.500 0.169
0.833 0.500 0.498
0.998 0.000 0.335
0.500 0.500 0.500
```



Entry 12:
First-principles (GGA-PBE) data for crystalline Pm3Tm3Pu at its relaxed geometry, as listed in the Alexandria database.

- D(E_F): 1.974 states/eV/atom
- Total moment: 6.60 μB/f.u.
- Electronic total energy: -5.85 eV per atom
- Formation enthalpy at 0 K: 0.15 eV per atom

Geometry as POSCAR:
```
Pm3Tm3Pu
1.0
6.688 0.000 0.000
-3.330 5.801 0.000
-3.296 -1.899 11.533
Pm Tm Pu
6 6 2
direct
0.089 0.116 0.375
0.239 0.527 0.625
0.405 0.787 0.375
0.595 0.213 0.625
0.761 0.473 0.375
0.911 0.884 0.625
0.087 0.761 0.884
0.374 0.171 0.117
0.440 0.698 0.114
0.560 0.302 0.886
0.626 0.829 0.883
0.913 0.239 0.116
0.073 0.287 0.859
0.927 0.713 0.141
```



Repeat the seventh record exactly.
First-principles (GGA-PBE) data for crystalline PmYPuTl at its relaxed geometry, as listed in the Alexandria database.

- D(E_F): 2.746 states/eV/atom
- Total moment: 6.93 μB/f.u.
- Electronic total energy: -6.89 eV per atom
- Formation enthalpy at 0 K: 0.09 eV per atom

Geometry as POSCAR:
```
PmYPuTl
1.0
0.000 3.880 3.880
3.880 0.000 3.880
3.880 3.880 0.000
Pm Y Pu Tl
1 1 1 1
direct
0.000 0.000 0.000
0.750 0.750 0.750
0.250 0.250 0.250
0.500 0.500 0.500
```



> The lowest total moment belongs to which entry?

Pm2Tm6Pu



> Among the records above, which one has the highest total moment?

PmPu2Tl